VASP calculation (GGA-PBE) on a geometry-optimized CeDyRe4 structure. Values from VASP.

Geometry as Quantum ESPRESSO input:
```
&SYSTEM
  ibrav = 0, nat = 6, ntyp = 3
/
ATOMIC_SPECIES
Re 186.21 Re.upf
Ce 140.12 Ce.upf
Dy 162.50 Dy.upf
ATOMIC_POSITIONS crystal
Re 0.6251 0.6251 0.1246
Re 0.6251 0.1246 0.6251
Re 0.6251 0.6251 0.6251
Re 0.1246 0.6251 0.6251
Ce 0.2500 0.2500 0.2500
Dy 0.0000 0.0000 0.0000
CELL_PARAMETERS angstrom
-4.4804 -1.1799 2.8778
0.4406 -2.4800 4.8377
-1.0996 2.7460 4.5824
```

## Properties
Crystal system ... cubic
Electronic total energy ... -0.7444 Ry per atom